Record 1
Si2AgW | the Alexandria database | GGA-PBE | optimized geometry; energy relative to the elements, uncorrected = 0.21 eV/atom; symmetry = R-3m, No. 166
1.0
-4.4449 7.3987 -0.1944
-5.9302 5.8710 -2.2139
-6.5766 5.5574 0.6326
Ag Si W
1 2 1
Cartesian
-12.7137 14.1203 -1.3317
-16.8630 18.7286 -1.7664
-8.5644 9.5120 -0.8971
-4.2379 4.7068 -0.4439

=====

Record 2
OsRuI2Br | the Alexandria database | GGA-PBE | optimized geometry; energy relative to the elements, uncorrected = 1.40 eV/atom; symmetry = P4/mmm, No. 123
1.0
5.5152 0.0000 0.0000
0.0000 4.8139 0.0000
0.0000 0.0000 5.5152
I Ru Os Br
2 1 1 1
Cartesian
0.0000 0.0000 2.7576
2.7576 0.0000 0.0000
2.7576 2.4069 2.7576
0.0000 0.0000 0.0000
0.0000 2.4069 0.0000